Entry from the Alexandria database: YHSe3 after structural relaxation (GGA-PBEsol).

Unit cell a=5.4304 b=5.4304 c=5.4304 alpha=90.00 beta=90.00 gamma=90.00
Last column: nearest neighbours and their distance in Å.
Fractional coordinates of all 5 atoms:
Y  0.0000  0.0000  0.0000  6 Se 2.72
H  0.5000  0.5000  0.5000  12 Se 3.84
Se  0.0000  0.5000  0.0000  2 Y 2.72
Se  0.0000  0.0000  0.5000  2 Y 2.72
Se  0.5000  0.0000  0.0000  2 Y 2.72

Values from the calculation:
As for the total energy: -4.13 eV/atom. For the volume, the calculation gives 160.14 Å³ per cell.

***

Entry from the Alexandria database: ScTa2NbGa after structural relaxation (GGA-PBEsol).

Unit cell a=4.7946 b=4.7946 c=5.0309 alpha=90.00 beta=90.00 gamma=90.00
Last column: nearest neighbours and their distance in Å.
Fractional coordinates of all 5 atoms:
Sc  0.0000  0.0000  0.5000  2 Nb 2.52
Nb  0.0000  0.0000  0.0000  4 Ta 2.40, 2 Sc 2.52
Ga  0.5000  0.5000  0.5000  4 Sc 3.39, 8 Ta 3.47
Ta  0.0000  0.5000  0.0000  2 Nb 2.40
Ta  0.5000  0.0000  0.0000  2 Nb 2.40

Values from the calculation:
As for the total energy: -7.80 eV/atom. For the volume, the calculation gives 115.65 Å³ per cell.

***

Entry from the Alexandria database: Hf2Pd after structural relaxation (GGA-PBEsol).

Unit cell a=8.6712 b=8.6712 c=8.6712 alpha=60.00 beta=60.00 gamma=60.00
Last column: nearest neighbours and their distance in Å.
Fractional coordinates of all 24 atoms:
Hf  0.1250  0.1250  0.1250  6 Pd 2.73
Hf  0.1250  0.1250  0.6250  6 Pd 2.73
Hf  0.1250  0.6250  0.1250  6 Pd 2.73
Hf  0.6250  0.1250  0.1250  6 Pd 2.73
Hf  0.6864  0.6864  0.3136  2 Pd 2.75
Hf  0.3136  0.3136  0.6864  2 Pd 2.75
Hf  0.6864  0.3136  0.6864  2 Pd 2.75
Hf  0.3136  0.6864  0.3136  2 Pd 2.75
Hf  0.6864  0.3136  0.3136  2 Pd 2.75
Hf  0.3136  0.6864  0.6864  2 Pd 2.75
Hf  0.5636  0.5636  0.9364  2 Pd 2.75
Hf  0.9364  0.9364  0.5636  2 Pd 2.75
Hf  0.5636  0.9364  0.5636  2 Pd 2.75
Hf  0.9364  0.5636  0.9364  2 Pd 2.75
Hf  0.5636  0.9364  0.9364  2 Pd 2.75
Hf  0.9364  0.5636  0.5636  2 Pd 2.75
Pd  0.9075  0.9075  0.9075  6 Hf 2.73-2.75
Pd  0.9075  0.9075  0.2774  6 Hf 2.73-2.75
Pd  0.9075  0.2774  0.9075  6 Hf 2.73-2.75
Pd  0.2774  0.9075  0.9075  6 Hf 2.73-2.75
Pd  0.3425  0.3425  0.3425  6 Hf 2.73-2.75
Pd  0.3425  0.3425  0.9726  6 Hf 2.73-2.75
Pd  0.3425  0.9726  0.3425  6 Hf 2.73-2.75
Pd  0.9726  0.3425  0.3425  6 Hf 2.73-2.75

Values from the calculation:
As for the total energy: -9.44 eV/atom. For the volume, the calculation gives 461.03 Å³ per cell.

***

Entry from the Alexandria database: TiCr2Ir after structural relaxation (GGA-PBEsol).

Unit cell a=4.1760 b=4.1760 c=4.1760 alpha=60.00 beta=60.00 gamma=60.00
Last column: nearest neighbours and their distance in Å.
Fractional coordinates of all 4 atoms:
Cr  0.2500  0.2500  0.2500  4 Ir 2.56, 4 Ti 2.56
Cr  0.7500  0.7500  0.7500  4 Ir 2.56, 4 Ti 2.56
Ir  0.5000  0.5000  0.5000  8 Cr 2.56
Ti  0.0000  0.0000  0.0000  8 Cr 2.56

Values from the calculation:
As for the total energy: -9.77 eV/atom. For the volume, the calculation gives 51.50 Å³ per cell.

***

Entry from the Alexandria database: CrPBr2 after structural relaxation (GGA-PBEsol).

Unit cell a=3.3129 b=4.2142 c=5.8770 alpha=90.00 beta=90.00 gamma=90.00
Last column: nearest neighbours and their distance in Å.
Fractional coordinates of all 4 atoms:
Br  0.0000  0.0000  0.0000  4 Cr 2.68
Br  0.5000  0.0000  0.5000  4 P 2.68
Cr  0.5000  0.5000  0.0000  4 Br 2.68
P  0.0000  0.5000  0.5000  4 Br 2.68

Values from the calculation:
The value obtained for the energy above the lowest structure with this stoichiometry is 2.30 eV/f.u. For the volume, the calculation gives 82.05 Å³ per cell.

***

Entry from the Alexandria database: Mg2ScSb after structural relaxation (GGA-PBEsol).

Unit cell a=3.8233 b=3.8228 c=6.2034 alpha=90.00 beta=90.00 gamma=90.00
Last column: nearest neighbours and their distance in Å.
Fractional coordinates of all 4 atoms:
Mg  0.0000  0.0000  0.0061  2 Sb 3.00-3.20, 4 Mg 3.07, 4 Sc 3.20
Mg  0.5000  0.5000  0.2423  2 Sc 3.02-3.18, 4 Mg 3.07, 4 Sb 3.21
Sb  0.0000  0.0000  0.5225  4 Sc 2.99, 6 Mg 3.00-3.21
Sc  0.5000  0.5000  0.7291  4 Sb 2.99, 6 Mg 3.02-3.20

Values from the calculation:
As for the total energy: -4.00 eV/atom. For the volume, the calculation gives 90.67 Å³ per cell.

***

Entry from the Alexandria database: ZrTcNi2Bi after structural relaxation (GGA-PBEsol).

Unit cell a=4.4244 b=4.4244 c=5.0711 alpha=90.00 beta=90.00 gamma=90.00
Last column: nearest neighbours and their distance in Å.
Fractional coordinates of all 5 atoms:
Ni  0.0000  0.5000  0.0000  2 Tc 2.21
Ni  0.5000  0.0000  0.0000  2 Tc 2.21
Bi  0.0000  0.0000  0.5000  2 Tc 2.54
Zr  0.5000  0.5000  0.5000  4 Bi 3.13, 8 Ni 3.36
Tc  0.0000  0.0000  0.0000  4 Ni 2.21

Values from the calculation:
As for the total energy: -6.48 eV/atom. For the volume, the calculation gives 99.27 Å³ per cell.

***

Entry from the Alexandria database: BaSc2Pb after structural relaxation (GGA-PBEsol).

Unit cell a=3.7357 b=3.7357 c=8.6518 alpha=90.00 beta=90.00 gamma=90.00
Last column: nearest neighbours and their distance in Å.
Fractional coordinates of all 4 atoms:
Ba  0.0000  0.0000  0.5175  4 Pb 3.63, 4 Ba 3.74, 4 Sc 3.89
Pb  0.5000  0.5000  0.8049  5 Sc 3.09-3.31
Sc  0.0000  0.0000  0.9900  4 Pb 3.09, 4 Sc 3.15
Sc  0.5000  0.5000  0.1876  4 Sc 3.15, 1 Pb 3.31

Values from the calculation:
As for the total energy: -4.94 eV/atom. For the volume, the calculation gives 120.74 Å³ per cell.

***

Entry from the Alexandria database: Ni2SbRu after structural relaxation (GGA-PBEsol).

Unit cell a=3.0351 b=4.2907 c=4.2782 alpha=103.16 beta=90.00 gamma=90.00
Last column: nearest neighbours and their distance in Å.
Fractional coordinates of all 4 atoms:
Ni  0.0000  0.0000  0.0000  4 Ru 2.62, 4 Ni 2.63, 2 Sb 2.66
Ni  0.5000  0.5000  0.0000  4 Sb 2.62, 4 Ni 2.63, 2 Ru 2.66
Ru  0.5000  0.0000  0.5000  6 Ni 2.62-2.66, 4 Sb 2.63
Sb  0.0000  0.5000  0.5000  6 Ni 2.62-2.66, 4 Ru 2.63

Values from the calculation:
As for the total energy: -6.67 eV/atom. For the volume, the calculation gives 54.25 Å³ per cell.

***

Entry from the Alexandria database: LaTeF3 after structural relaxation (GGA-PBEsol).

Unit cell a=4.6971 b=4.6971 c=4.6971 alpha=90.00 beta=90.00 gamma=90.00
Last column: nearest neighbours and their distance in Å.
Fractional coordinates of all 5 atoms:
F  0.0000  0.5000  0.0000  2 La 2.35
F  0.0000  0.0000  0.5000  2 La 2.35
F  0.5000  0.0000  0.0000  2 La 2.35
Te  0.5000  0.5000  0.5000  12 F 3.32
La  0.0000  0.0000  0.0000  6 F 2.35

Values from the calculation:
As for the total energy: -5.66 eV/atom. For the volume, the calculation gives 103.63 Å³ per cell.